# BeCdOs2

An optimized crystal structure of BeCdOs2 (PBE-GGA, Alexandria via LeMat-Bulk).

Properties
Space-group type = No. 166
Offset from the most stable computed form = 223 meV/atom
DFT formation energy = 0.3731 eV per atom

a = 8.722 Å, b = 8.722 Å, c = 8.722 Å
α = 18.26°, β = 18.26°, γ = 18.26°
Positions (direct):
1 Be 0.250 0.250 0.250
2 Os 0.988 0.988 0.988
3 Os 0.512 0.512 0.512
4 Cd 0.750 0.750 0.750